A plane-wave DFT calculation with PBE was carried out for a relaxed structure of LaNb2CuBrO7.

Computed properties:
energy relative to the elements, uncorrected	-27.89	eV/f.u.
polymorph energy (0 for the lowest one)	12	meV/atom
electronic total energy	-7.786	eV/atom

Cell: 3.9416 3.9416 11.8197 Å, 90.00 90.00 90.00°
Space group P4/mmm (No. 123)
Asymmetric unit:
La1 0.0000 0.0000 0.0000 [1 per cell]
Nb1 0.5000 0.5000 0.1906 [2 per cell]
Cu1 0.5000 0.5000 0.5000 [1 per cell]
Br1 0.0000 0.0000 0.5000 [1 per cell]
O1 0.0000 0.5000 0.1536 [4 per cell]
O2 0.5000 0.5000 0.0000 [1 per cell]
O3 0.5000 0.5000 0.3436 [2 per cell]